Entry 1:
{
  "formula": "KZr2Ta",
  "functional": "SCAN",
  "state": "single point on PBEsol structure",
  "lattice_angstrom": [[-3.599, -3.489, -0.317], [-1.445, -1.716, -4.494], [1.160, -4.685, -1.391]],
  "species": ["K", "Ta", "Zr", "Zr"],
  "frac_coords": [[0.500, 0.500, 0.500], [0.250, 0.250, 0.250], [0.000, 0.000, 0.000], [0.750, 0.750, 0.750]],
  "relative_energy_ev_per_atom": 0.651,
  "total_magnetization_mub_per_atom": 0.0000,
  "delta_e_f_ev_per_atom": 1.32,
  "dos_ef_per_ev_atom": 1.56
}

***

Entry 2:
{
  "formula": "K2ZrTa",
  "functional": "SCAN",
  "state": "single point on PBEsol structure",
  "lattice_angstrom": [[2.744, 0.000, 0.000], [0.000, 6.633, 0.000], [0.000, 0.000, 6.633]],
  "species": ["K", "K", "Ta", "Zr"],
  "frac_coords": [[0.000, 0.000, 0.500], [0.000, 0.500, 0.000], [0.500, 0.500, 0.500], [0.500, 0.000, 0.000]],
  "relative_energy_ev_per_atom": 1.045,
  "total_magnetization_mub_per_atom": 0.1736,
  "delta_e_f_ev_per_atom": 1.81,
  "dos_ef_per_ev_atom": 1.10
}